No. 1
The following is a PBE calculation of an optimized crystal structure of Ba2Si2As, from the Alexandria database.

Unit cell a=10.2584 b=10.2584 c=10.2584 alpha=158.58 beta=158.58 gamma=30.47
Last column: nearest neighbours and their distance in Å.
Atoms (fractional coordinates):
Ba 0.0992 0.0992 0.0000  4 As 3.33, 4 Si 3.54
Ba 0.9008 0.9008 0.0000  4 As 3.33, 4 Si 3.54
Si 0.2500 0.7500 0.5000  4 Si 2.70
Si 0.7500 0.2500 0.5000  4 Si 2.70
As 0.5000 0.5000 0.0000  8 Ba 3.33

ΔE to the lowest computed polymorph = 0.0 meV/atom
ΔE_f (raw) = -1.70 eV per formula unit
M_tot = 0.00 Bohr magnetons per cell

---

No. 2
The following is a PBE calculation of an optimized crystal structure of Ba2SiAs, from the Alexandria database.

Unit cell a=4.6031 b=6.3709 c=6.3709 alpha=45.72 beta=90.00 gamma=90.00
Last column: nearest neighbours and their distance in Å.
Atoms (fractional coordinates):
Ba 0.0000 0.0000 0.0000  3 Si 3.35-3.62, 4 As 3.52
Ba 0.5000 0.2781 0.2781  3 As 3.37-3.58, 4 Si 3.53
Si 0.0000 0.6919 0.6919  2 As 2.63
As 0.5000 0.5828 0.5828  2 Si 2.63

ΔE to the lowest computed polymorph = 24.8 meV/atom
ΔE_f (raw) = -2.50 eV per formula unit
M_tot = 0.00 Bohr magnetons per cell

---

No. 3
The following is a PBE calculation of an optimized crystal structure of Ba4SiAs4, from the Alexandria database.

Unit cell a=13.4867 b=13.4867 c=13.4867 alpha=90.00 beta=90.00 gamma=90.00
Last column: nearest neighbours and their distance in Å.
Atoms (fractional coordinates):
Ba 0.0955 0.1317 0.6444  1 Si 3.36, 6 As 3.39-3.46
Ba 0.0955 0.8683 0.3556  1 Si 3.36, 6 As 3.39-3.46
Ba 0.1317 0.3556 0.9045  1 Si 3.36, 6 As 3.39-3.46
Ba 0.1317 0.6444 0.0955  1 Si 3.36, 6 As 3.39-3.46
Ba 0.1444 0.1444 0.1444  1 Si 3.37, 6 As 3.44
Ba 0.1444 0.3683 0.4045  1 Si 3.36, 6 As 3.39-3.46
Ba 0.1444 0.6317 0.5955  1 Si 3.36, 6 As 3.39-3.46
Ba 0.1444 0.8556 0.8556  1 Si 3.37, 6 As 3.44
Ba 0.3556 0.0955 0.8683  1 Si 3.36, 6 As 3.39-3.46
Ba 0.3556 0.3556 0.6444  1 Si 3.37, 6 As 3.44
Ba 0.3556 0.6444 0.3556  1 Si 3.37, 6 As 3.44
Ba 0.3556 0.9045 0.1317  1 Si 3.36, 6 As 3.39-3.46
Ba 0.3683 0.4045 0.1444  1 Si 3.36, 6 As 3.39-3.46
Ba 0.3683 0.5955 0.8556  1 Si 3.36, 6 As 3.39-3.46
Ba 0.4045 0.1444 0.3683  1 Si 3.36, 6 As 3.39-3.46
Ba 0.4045 0.8556 0.6317  1 Si 3.36, 6 As 3.39-3.46
Ba 0.5955 0.1444 0.6317  1 Si 3.36, 6 As 3.39-3.46
Ba 0.5955 0.8556 0.3683  1 Si 3.36, 6 As 3.39-3.46
Ba 0.6317 0.4045 0.8556  1 Si 3.36, 6 As 3.39-3.46
Ba 0.6317 0.5955 0.1444  1 Si 3.36, 6 As 3.39-3.46
Ba 0.6444 0.0955 0.1317  1 Si 3.36, 6 As 3.39-3.46
Ba 0.6444 0.3556 0.3556  1 Si 3.37, 6 As 3.44
Ba 0.6444 0.6444 0.6444  1 Si 3.37, 6 As 3.44
Ba 0.6444 0.9045 0.8683  1 Si 3.36, 6 As 3.39-3.46
Ba 0.8556 0.1444 0.8556  1 Si 3.37, 6 As 3.44
Ba 0.8556 0.3683 0.5955  1 Si 3.36, 6 As 3.39-3.46
Ba 0.8556 0.6317 0.4045  1 Si 3.36, 6 As 3.39-3.46
Ba 0.8556 0.8556 0.1444  1 Si 3.37, 6 As 3.44
Ba 0.8683 0.3556 0.0955  1 Si 3.36, 6 As 3.39-3.46
Ba 0.8683 0.6444 0.9045  1 Si 3.36, 6 As 3.39-3.46
Ba 0.9045 0.1317 0.3556  1 Si 3.36, 6 As 3.39-3.46
Ba 0.9045 0.8683 0.6444  1 Si 3.36, 6 As 3.39-3.46
Si 0.0000 0.0000 0.0000  4 As 2.43
Si 0.0000 0.5000 0.2500  4 As 2.44
Si 0.0000 0.5000 0.7500  4 As 2.44
Si 0.2500 0.0000 0.5000  4 As 2.44
Si 0.5000 0.2500 0.0000  4 As 2.44
Si 0.5000 0.5000 0.5000  4 As 2.43
Si 0.5000 0.7500 0.0000  4 As 2.44
Si 0.7500 0.0000 0.5000  4 As 2.44
As 0.1029 0.3882 0.6519  1 Si 2.44
As 0.1029 0.6118 0.3481  1 Si 2.44
As 0.1039 0.1039 0.8961  1 Si 2.43
As 0.1039 0.8961 0.1039  1 Si 2.43
As 0.1118 0.3971 0.1519  1 Si 2.44
As 0.1118 0.6029 0.8481  1 Si 2.44
As 0.1519 0.1118 0.3971  1 Si 2.44
As 0.1519 0.8882 0.6029  1 Si 2.44
As 0.3481 0.1029 0.6118  1 Si 2.44
As 0.3481 0.8971 0.3882  1 Si 2.44
As 0.3882 0.3481 0.8971  1 Si 2.44
As 0.3882 0.6519 0.1029  1 Si 2.44
As 0.3961 0.3961 0.3961  1 Si 2.43
As 0.3961 0.6039 0.6039  1 Si 2.43
As 0.3971 0.1519 0.1118  1 Si 2.44
As 0.3971 0.8481 0.8882  1 Si 2.44
As 0.6029 0.1519 0.8882  1 Si 2.44
As 0.6029 0.8481 0.1118  1 Si 2.44
As 0.6039 0.3961 0.6039  1 Si 2.43
As 0.6039 0.6039 0.3961  1 Si 2.43
As 0.6118 0.3481 0.1029  1 Si 2.44
As 0.6118 0.6519 0.8971  1 Si 2.44
As 0.6519 0.1029 0.3882  1 Si 2.44
As 0.6519 0.8971 0.6118  1 Si 2.44
As 0.8481 0.1118 0.6029  1 Si 2.44
As 0.8481 0.8882 0.3971  1 Si 2.44
As 0.8882 0.3971 0.8481  1 Si 2.44
As 0.8882 0.6029 0.1519  1 Si 2.44
As 0.8961 0.1039 0.1039  1 Si 2.43
As 0.8961 0.8961 0.8961  1 Si 2.43
As 0.8971 0.3882 0.3481  1 Si 2.44
As 0.8971 0.6118 0.6519  1 Si 2.44

ΔE to the lowest computed polymorph = 0.0 meV/atom
ΔE_f (raw) = -9.02 eV per formula unit
M_tot = 0.00 Bohr magnetons per cell

---

No. 4
The following is a PBE calculation of an optimized crystal structure of Ba2SiAs, from the Alexandria database.

Unit cell a=6.3786 b=6.3786 c=5.2183 alpha=99.12 beta=99.12 gamma=40.69
Last column: nearest neighbours and their distance in Å.
Atoms (fractional coordinates):
Ba 0.0000 0.0000 0.0000  4 Si 3.36-3.59, 3 As 3.41-3.48, 1 Ba 3.57
Ba 0.7370 0.7370 0.5602  4 As 3.36-3.60, 3 Si 3.38-3.50, 1 Ba 3.57
Si 0.4504 0.4504 0.4517  1 As 2.39
As 0.2889 0.2889 0.1109  1 Si 2.39

ΔE to the lowest computed polymorph = 0.0 meV/atom
ΔE_f (raw) = -2.60 eV per formula unit
M_tot = 0.00 Bohr magnetons per cell

---

No. 5
The following is a PBE calculation of an optimized crystal structure of BaSiAs2, from the Alexandria database.

Unit cell a=5.2240 b=5.2240 c=5.2240 alpha=60.00 beta=60.00 gamma=60.00
Last column: nearest neighbours and their distance in Å.
Atoms (fractional coordinates):
Ba 0.0000 0.0000 0.0000  4 As 3.20, 4 Si 3.20
Si 0.2500 0.2500 0.2500  4 Ba 3.20, 4 As 3.20
As 0.5000 0.5000 0.5000  4 As 3.20, 4 Si 3.20
As 0.7500 0.7500 0.7500  4 As 3.20, 4 Ba 3.20

ΔE_f (raw) = 0.72 eV per formula unit
M_tot = 0.00 Bohr magnetons per cell

---

No. 6
The following is a PBE calculation of an optimized crystal structure of BaSiAs2, from the Alexandria database.

Unit cell a=4.8471 b=4.4946 c=5.3641 alpha=90.00 beta=90.22 gamma=90.00
Last column: nearest neighbours and their distance in Å.
Atoms (fractional coordinates):
Ba 0.0000 0.0000 0.0000  8 As 3.38-3.65, 4 Si 3.66-3.67
Si 0.4978 0.5000 0.7049  3 As 2.32-2.52
As 0.4988 0.0000 0.4921  2 Si 2.52
As 0.5015 0.5000 0.1367  1 Si 2.32

ΔE_f (raw) = -1.46 eV per formula unit
M_tot = 0.00 Bohr magnetons per cell

---

No. 7
The following is a PBE calculation of an optimized crystal structure of Ba2SiAs, from the Alexandria database.

Unit cell a=5.7013 b=5.7013 c=5.7013 alpha=60.00 beta=60.00 gamma=60.00
Last column: nearest neighbours and their distance in Å.
Atoms (fractional coordinates):
Ba 0.2500 0.2500 0.2500  4 As 3.49, 4 Si 3.49
Ba 0.7500 0.7500 0.7500  4 As 3.49, 4 Si 3.49
Si 0.0000 0.0000 0.0000  8 Ba 3.49
As 0.5000 0.5000 0.5000  8 Ba 3.49

ΔE to the lowest computed polymorph = 283.7 meV/atom
ΔE_f (raw) = -1.47 eV per formula unit
M_tot = 0.00 Bohr magnetons per cell

---

No. 8
The following is a PBE calculation of an optimized crystal structure of Ba2SiAs, from the Alexandria database.

Unit cell a=5.7100 b=5.7100 c=4.0011 alpha=90.00 beta=90.00 gamma=102.57
Last column: nearest neighbours and their distance in Å.
Atoms (fractional coordinates):
Ba 0.0000 0.5000 0.0000  4 As 3.49, 4 Si 3.49, 2 Ba 3.57
Ba 0.5000 0.0000 0.0000  4 As 3.49, 4 Si 3.49, 2 Ba 3.57
Si 0.0000 0.0000 0.5000  8 Ba 3.49, 2 As 3.57
As 0.5000 0.5000 0.5000  8 Ba 3.49, 2 Si 3.57

ΔE to the lowest computed polymorph = 235.1 meV/atom
ΔE_f (raw) = -1.66 eV per formula unit
M_tot = 0.00 Bohr magnetons per cell

---

No. 9
The following is a PBE calculation of an optimized crystal structure of Ba2SiAs, from the Alexandria database.

Unit cell a=5.8925 b=5.8925 c=5.8925 alpha=126.60 beta=126.60 gamma=78.91
Last column: nearest neighbours and their distance in Å.
Atoms (fractional coordinates):
Ba 0.2500 0.7500 0.5000  4 As 3.49, 4 Si 3.49, 4 Ba 3.74
Ba 0.7500 0.2500 0.5000  4 As 3.49, 4 Si 3.49, 4 Ba 3.74
Si 0.0000 0.0000 0.0000  8 Ba 3.49, 4 As 3.74
As 0.5000 0.5000 0.0000  8 Ba 3.49, 4 Si 3.74

ΔE to the lowest computed polymorph = 244.5 meV/atom
ΔE_f (raw) = -1.62 eV per formula unit
M_tot = 0.00 Bohr magnetons per cell

---

No. 10
The following is a PBE calculation of an optimized crystal structure of BaSiAs2, from the Alexandria database.

Unit cell a=5.9948 b=5.9948 c=5.9948 alpha=136.55 beta=136.55 gamma=63.13
Last column: nearest neighbours and their distance in Å.
Atoms (fractional coordinates):
Ba 0.0000 0.0000 0.0000  8 As 3.14-3.38, 4 Si 3.38
Si 0.2500 0.7500 0.5000  8 As 3.14-3.38, 4 Ba 3.38
As 0.5000 0.5000 0.0000  4 Ba 3.14, 4 As 3.38, 4 Si 3.38
As 0.7500 0.2500 0.5000  4 Si 3.14, 4 Ba 3.38, 4 As 3.38

ΔE_f (raw) = 0.37 eV per formula unit
M_tot = 0.00 Bohr magnetons per cell

---

No. 11
The following is a PBE calculation of an optimized crystal structure of BaSiAs2, from the Alexandria database.

Unit cell a=5.5464 b=5.5464 c=5.5464 alpha=129.32 beta=129.32 gamma=74.49
Last column: nearest neighbours and their distance in Å.
Atoms (fractional coordinates):
Ba 0.0000 0.0000 0.0000  8 As 3.24, 4 Si 3.36
Si 0.5000 0.5000 0.0000  8 As 3.24, 4 Ba 3.36
As 0.2500 0.7500 0.5000  4 Ba 3.24, 4 Si 3.24, 4 As 3.36
As 0.7500 0.2500 0.5000  4 Ba 3.24, 4 Si 3.24, 4 As 3.36

ΔE_f (raw) = 0.12 eV per formula unit
M_tot = 0.00 Bohr magnetons per cell

---

No. 12
The following is a PBE calculation of an optimized crystal structure of BaSiAs2, from the Alexandria database.

Unit cell a=8.6766 b=8.6766 c=7.0887 alpha=113.98 beta=113.98 gamma=27.02
Last column: nearest neighbours and their distance in Å.
Atoms (fractional coordinates):
Ba 0.1384 0.1384 0.1367  8 As 3.33-3.64
Ba 0.8616 0.8616 0.8633  8 As 3.33-3.64
Si 0.4024 0.4024 0.4018  4 As 2.37-2.47
Si 0.5976 0.5976 0.5982  4 As 2.37-2.47
As 0.1894 0.1894 0.6889  2 Si 2.47
As 0.4992 0.4992 0.7593  2 Si 2.37-2.38
As 0.5008 0.5008 0.2407  2 Si 2.37-2.38
As 0.8106 0.8106 0.3111  2 Si 2.47

ΔE_f (raw) = -2.18 eV per formula unit
M_tot = 0.00 Bohr magnetons per cell